Sr2AlH | PBE | optimized geometry

Calculated values
As for the space group: No. 166. The offset from the most stable computed form comes out at 1 kJ/mol of formula units.

abc: 4.077 4.077 8.196
angles: 75.60 75.60 60.00
Atoms (fractional coordinates):
Sr1 0.236 0.236 0.293
Sr2 0.764 0.764 0.707
Al1 0.000 0.000 0.000
H1 0.500 0.500 0.500